Entry from Alexandria: a geometry-optimized SiSbRh2 structure (PBE).

Cell: 6.4018 6.4018 6.4018 Å, 90.00 90.00 90.00°
With the nearest neighbours (Å) after each atom.
Space group F-43m (No. 216)
Unique sites:
1 Si 0.0000 0.0000 0.0000 [4 per cell]  4 Rh 2.77, 4 Sb 2.77
2 Sb 0.2500 0.2500 0.2500 [4 per cell]  4 Rh 2.77, 4 Si 2.77
3 Rh 0.0000 0.0000 0.5000 [4 per cell]  4 Sb 2.77, 4 Rh 2.77
4 Rh 0.2500 0.2500 0.7500 [4 per cell]  4 Rh 2.77, 4 Si 2.77

## Properties
The calculation puts the total magnetic moment at 0.00 μB per cell. As for the electronic total energy: -0.2184 hartree per atom. For the energy above the most stable polymorph in this dataset, the calculation gives 615 meV/atom. Its density of states at the Fermi level is 10.65 states/eV/cell.